1.
Sm3Sb2Te2, relaxed, DFT PBE; formation energy without anion corrections = -1.053 eV/atom; magnetic moment = 0.00 μB per formula unit; calculated total energy = -36.055 eV per formula unit; calculated density = 6.12 Mg/m³
1.0
8.2722 -2.2090 0.0000
8.2722 2.2090 0.0000
-3.3966 0.0000 7.0540
Sm Sb Te
3 2 2
Direct
0.0000 0.0000 0.0000 Sm
0.2667 0.2667 0.2735 Sm
0.7333 0.7333 0.7265 Sm
0.3659 0.3659 0.0075 Sb
0.6341 0.6341 0.9925 Sb
0.1225 0.1225 0.4432 Te
0.8775 0.8775 0.5568 Te



2.
Sm10Sb3Te3, relaxed, DFT PBE; formation energy without anion corrections = -1.013 eV/atom; magnetic moment = 0.00 μB per formula unit; calculated total energy = -85.196 eV per formula unit; calculated density = 7.99 Mg/m³
1.0
9.2222 0.0000 0.0000
-4.6111 7.9866 0.0000
0.0000 0.0000 6.3527
Sm Sb Te
10 3 3
Direct
0.0000 0.2530 0.0000 Sm
0.0000 0.7469 0.5000 Sm
0.2530 0.0000 0.0000 Sm
0.2531 0.2531 0.5000 Sm
0.3333 0.6667 0.2480 Sm
0.3333 0.6667 0.7520 Sm
0.6667 0.3333 0.2480 Sm
0.6667 0.3333 0.7520 Sm
0.7469 0.0000 0.5000 Sm
0.7470 0.7470 0.0000 Sm
0.0000 0.6137 0.0000 Sb
0.3863 0.3863 0.0000 Sb
0.6137 0.0000 0.0000 Sb
0.0000 0.3853 0.5000 Te
0.3853 0.0000 0.5000 Te
0.6147 0.6147 0.5000 Te



3.
Sm4SbTe, relaxed, DFT PBE; formation energy without anion corrections = -0.699 eV/atom; magnetic moment = 0.00 μB per formula unit; calculated total energy = -30.336 eV per formula unit; calculated density = 7.19 Mg/m³
1.0
2.8155 -10.9433 0.0000
2.8155 10.9433 0.0000
0.0000 0.0000 6.3764
Sm Sb Te
8 2 2
Direct
0.0666 0.9334 0.7500 Sm
0.2112 0.7888 0.5018 Sm
0.2112 0.7888 0.9982 Sm
0.3709 0.6291 0.7500 Sm
0.6291 0.3709 0.2500 Sm
0.7888 0.2112 0.0018 Sm
0.7888 0.2112 0.4982 Sm
0.9334 0.0666 0.2500 Sm
0.3480 0.6520 0.2500 Sb
0.6520 0.3480 0.7500 Sb
0.0740 0.9260 0.2500 Te
0.9260 0.0740 0.7500 Te



4.
Sm3SbTe, relaxed, DFT PBE; formation energy without anion corrections = -0.815 eV/atom; magnetic moment = 0.45 μB per formula unit; energy above the most stable polymorph in this dataset = 229 meV per atom; calculated total energy = -25.497 eV per formula unit; calculated density = 6.82 Mg/m³
1.0
10.7252 -2.0958 0.0000
10.7252 2.0958 0.0000
-0.8744 0.0000 7.5864
Sm Sb Te
6 2 2
Direct
0.0077 0.0077 0.2334 Sm
0.1805 0.1805 0.9286 Sm
0.3157 0.3157 0.6417 Sm
0.6843 0.6843 0.3583 Sm
0.8195 0.8195 0.0714 Sm
0.9923 0.9923 0.7666 Sm
0.4181 0.4181 0.9706 Sb
0.5819 0.5819 0.0294 Sb
0.1080 0.1080 0.5518 Te
0.8920 0.8920 0.4482 Te



5.
Sm8Sb2Te, relaxed, DFT PBE; formation energy without anion corrections = -0.601 eV/atom; magnetic moment = 0.00 μB per formula unit; calculated total energy = -55.756 eV per formula unit; calculated density = 7.51 Mg/m³
1.0
9.3046 -2.3099 0.0000
9.3046 2.3099 0.0000
-0.4284 0.0000 8.1005
Sm Sb Te
8 2 1
Direct
0.0016 0.0016 0.2539 Sm
0.2152 0.2152 0.3619 Sm
0.3344 0.3344 0.9624 Sm
0.4007 0.4007 0.4791 Sm
0.5993 0.5993 0.5209 Sm
0.6656 0.6656 0.0376 Sm
0.7848 0.7848 0.6381 Sm
0.9984 0.9984 0.7461 Sm
0.1755 0.1755 0.7666 Sb
0.8245 0.8245 0.2334 Sb
0.5000 0.5000 0.0000 Te



6.
Sm4Sb2Te, relaxed, DFT PBE; formation energy without anion corrections = -1.099 eV/atom; magnetic moment = 0.00 μB per formula unit; energy above the most stable polymorph in this dataset = 0 meV per atom; calculated total energy = -37.957 eV per formula unit; calculated density = 7.84 Mg/m³
1.0
-4.6800 4.6800 4.7003
4.6800 -4.6800 4.7003
4.6800 4.6800 -4.7003
Sm Sb Te
8 4 2
Direct
0.1267 0.2329 0.7485 Sm
0.1282 0.7344 0.7515 Sm
0.2656 0.0171 0.3938 Sm
0.4844 0.3782 0.2515 Sm
0.6218 0.8733 0.1062 Sm
0.6233 0.8718 0.6062 Sm
0.7671 0.5156 0.8938 Sm
0.9829 0.3767 0.2485 Sm
0.2497 0.6250 0.1247 Sb
0.3750 0.4997 0.6247 Sb
0.5003 0.1250 0.8753 Sb
0.8750 0.7503 0.3753 Sb
0.0000 0.0000 0.0000 Te
0.7500 0.2500 0.5000 Te



7.
Sm5SbTe5, relaxed, DFT PBE; formation energy without anion corrections = -1.409 eV/atom; magnetic moment = 0.00 μB per formula unit; calculated total energy = -58.920 eV per formula unit; calculated density = 6.78 Mg/m³
1.0
6.9970 -3.1498 0.0000
6.9970 3.1498 0.0000
-2.7977 0.0000 8.4005
Sm Sb Te
5 1 5
Direct
0.0000 0.0000 0.0000 Sm
0.3363 0.3363 0.1686 Sm
0.3367 0.3367 0.6680 Sm
0.6633 0.6633 0.3320 Sm
0.6637 0.6637 0.8314 Sm
0.5000 0.5000 0.0000 Sb
0.1642 0.1642 0.3370 Te
0.1655 0.1655 0.8286 Te
0.5000 0.5000 0.5000 Te
0.8345 0.8345 0.1714 Te
0.8358 0.8358 0.6630 Te



8.
SmSb3Te6, relaxed, DFT PBE; formation energy without anion corrections = -0.437 eV/atom; magnetic moment = 0.00 μB per formula unit; calculated total energy = -40.303 eV per formula unit; calculated density = 6.09 Mg/m³
1.0
13.0366 0.0000 0.0000
0.0000 4.3048 0.0000
-4.3147 0.0000 12.4426
Sm Sb Te
2 6 12
Direct
0.1942 0.2500 0.0401 Sm
0.8058 0.7500 0.9599 Sm
0.0431 0.7500 0.2976 Sb
0.3427 0.2500 0.4418 Sb
0.3947 0.7500 0.8527 Sb
0.6053 0.2500 0.1473 Sb
0.6573 0.7500 0.5582 Sb
0.9569 0.2500 0.7024 Sb
0.0269 0.7500 0.8952 Te
0.1238 0.2500 0.4652 Te
0.2335 0.2500 0.8024 Te
0.2397 0.7500 0.2404 Te
0.3932 0.7500 0.0720 Te
0.4231 0.7500 0.6019 Te
0.5769 0.2500 0.3981 Te
0.6068 0.2500 0.9280 Te
0.7603 0.2500 0.7596 Te
0.7665 0.7500 0.1976 Te
0.8762 0.7500 0.5348 Te
0.9731 0.2500 0.1048 Te



9.
Sm8Sb4Te3, relaxed, DFT PBE; formation energy without anion corrections = -1.163 eV/atom; magnetic moment = 0.00 μB per formula unit; calculated total energy = -81.110 eV per formula unit; calculated density = 7.01 Mg/m³
1.0
6.2549 -6.2636 0.0000
6.2549 6.2636 0.0000
-6.2347 0.0000 6.2663
Sm Sb Te
8 4 3
Direct
0.2467 0.2467 0.4958 Sm
0.2466 0.7534 0.0000 Sm
0.2503 0.2503 0.0058 Sm
0.2513 0.7487 0.5000 Sm
0.7487 0.2513 0.5000 Sm
0.7497 0.7497 0.9942 Sm
0.7534 0.2466 0.0000 Sm
0.7533 0.7533 0.5042 Sm
0.0000 0.0000 0.0000 Sb
0.0000 0.5000 0.5000 Sb
0.5000 0.0000 0.5000 Sb
0.5000 0.5000 0.5000 Sb
0.0000 0.5000 0.0000 Te
0.5000 0.0000 0.0000 Te
0.5000 0.5000 0.0000 Te



10.
Sm3SbTe2, relaxed, DFT PBE; formation energy without anion corrections = -1.353 eV/atom; magnetic moment = 0.00 μB per formula unit; calculated total energy = -32.682 eV per formula unit; calculated density = 7.33 Mg/m³
1.0
-2.2204 3.1451 6.7194
2.2204 -3.1451 6.7194
2.2204 3.1451 -6.7194
Sm Sb Te
3 1 2
Direct
0.0000 0.0000 0.0000 Sm
0.3396 0.3396 0.0000 Sm
0.6604 0.6604 0.0000 Sm
0.5000 0.0000 0.5000 Sb
0.1684 0.6684 0.5000 Te
0.8316 0.3316 0.5000 Te



11.
Sm6Sb5Te, relaxed, DFT PBE; formation energy without anion corrections = -1.246 eV/atom; magnetic moment = 0.00 μB per formula unit; calculated total energy = -67.018 eV per formula unit; calculated density = 7.19 Mg/m³
1.0
3.8705 -6.6985 0.0000
3.8705 6.6985 0.0000
-2.5774 0.0000 7.2970
Sm Sb Te
6 5 1
Direct
0.0776 0.4155 0.7470 Sm
0.2461 0.2461 0.2522 Sm
0.4155 0.0776 0.7470 Sm
0.5845 0.9224 0.2530 Sm
0.7539 0.7539 0.7478 Sm
0.9224 0.5845 0.2530 Sm
0.0000 0.0000 0.5000 Sb
0.1671 0.8329 0.0000 Sb
0.3350 0.6650 0.5000 Sb
0.6650 0.3350 0.5000 Sb
0.8329 0.1671 0.0000 Sb
0.5000 0.5000 0.0000 Te



12.
Sm4SbTe4, relaxed, DFT PBE; formation energy without anion corrections = -1.400 eV/atom; magnetic moment = 0.00 μB per formula unit; calculated total energy = -48.170 eV per formula unit; calculated density = 6.61 Mg/m³
1.0
7.3769 -2.2237 0.0000
7.3769 2.2237 0.0000
-5.4497 0.0000 9.4470
Sm Sb Te
4 1 4
Direct
0.0978 0.0978 0.4007 Sm
0.3007 0.3007 0.1964 Sm
0.6993 0.6993 0.8036 Sm
0.9022 0.9022 0.5993 Sm
0.5000 0.5000 0.5000 Sb
0.0990 0.0990 0.9011 Te
0.3036 0.3036 0.7051 Te
0.6964 0.6964 0.2949 Te
0.9010 0.9010 0.0989 Te



13.
Sm3SbTe, relaxed, DFT PBE; formation energy without anion corrections = -1.045 eV/atom; magnetic moment = 0.00 μB per formula unit; energy above the most stable polymorph in this dataset = 0 meV per atom; calculated total energy = -26.644 eV per formula unit; calculated density = 7.52 Mg/m³
1.0
8.3165 0.0000 0.0000
0.0000 4.4038 0.0000
0.0000 0.0000 16.9013
Sm Sb Te
12 4 4
Direct
0.0129 0.2500 0.1090 Sm
0.1365 0.2500 0.5648 Sm
0.1633 0.7500 0.2745 Sm
0.3367 0.2500 0.7745 Sm
0.3635 0.7500 0.0648 Sm
0.4871 0.7500 0.6090 Sm
0.5129 0.2500 0.3910 Sm
0.6365 0.2500 0.9352 Sm
0.6633 0.7500 0.2255 Sm
0.8367 0.2500 0.7255 Sm
0.8635 0.7500 0.4352 Sm
0.9871 0.7500 0.8910 Sm
0.1164 0.7500 0.7019 Sb
0.3836 0.2500 0.2019 Sb
0.6164 0.7500 0.7981 Sb
0.8836 0.2500 0.2981 Sb
0.2338 0.2500 0.9513 Te
0.2662 0.7500 0.4513 Te
0.7338 0.2500 0.5487 Te
0.7662 0.7500 0.0487 Te



14.
Sm7Sb2Te2, relaxed, DFT PBE; formation energy without anion corrections = -0.599 eV/atom; magnetic moment = 0.00 μB per formula unit; calculated total energy = -54.155 eV per formula unit; calculated density = 7.01 Mg/m³
1.0
4.7460 -5.5553 0.0000
4.7460 5.5553 0.0000
0.0000 0.0000 6.9695
Sm Sb Te
7 2 2
Direct
0.0000 0.0000 0.0000 Sm
0.0000 0.5000 0.2679 Sm
0.0000 0.5000 0.7321 Sm
0.5000 0.0000 0.2679 Sm
0.5000 0.0000 0.7321 Sm
0.5000 0.5000 0.2612 Sm
0.5000 0.5000 0.7388 Sm
0.2023 0.2023 0.5000 Sb
0.7977 0.7977 0.5000 Sb
0.2768 0.7232 0.0000 Te
0.7232 0.2768 0.0000 Te



15.
Sm6SbTe5, relaxed, DFT PBE; formation energy without anion corrections = -1.371 eV/atom; magnetic moment = 0.00 μB per formula unit; calculated total energy = -64.594 eV per formula unit; calculated density = 7.38 Mg/m³
1.0
3.8482 -6.6668 0.0000
3.8482 6.6668 0.0000
-2.5621 0.0000 7.2914
Sm Sb Te
6 1 5
Direct
0.0815 0.4078 0.7447 Sm
0.2439 0.2439 0.2535 Sm
0.4078 0.0815 0.7447 Sm
0.5922 0.9185 0.2553 Sm
0.7561 0.7561 0.7465 Sm
0.9185 0.5922 0.2553 Sm
0.0000 0.0000 0.5000 Sb
0.1690 0.8310 0.0000 Te
0.3337 0.6663 0.5000 Te
0.5000 0.5000 0.0000 Te
0.6663 0.3337 0.5000 Te
0.8310 0.1690 0.0000 Te



16.
Sm2SbTe, relaxed, DFT PBE; formation energy without anion corrections = -1.273 eV/atom; magnetic moment = 0.00 μB per formula unit; energy above the most stable polymorph in this dataset = 52 meV per atom; calculated total energy = -21.796 eV per formula unit; calculated density = 7.17 Mg/m³
1.0
2.1845 1.2612 7.7016
-2.1845 1.2612 7.7016
0.0000 -2.5224 7.7016
Sm Sb Te
2 1 1
Direct
0.0000 0.0000 0.0000 Sm
0.1781 0.1781 0.1781 Sm
0.5877 0.5877 0.5877 Sb
0.7567 0.7567 0.7567 Te



17.
Sm2SbTe5, relaxed, DFT PBE; formation energy without anion corrections = -0.781 eV/atom; magnetic moment = 0.00 μB per formula unit; calculated total energy = -35.514 eV per formula unit; calculated density = 5.23 Mg/m³
1.0
3.0731 -7.4835 0.0000
3.0731 7.4835 0.0000
0.0000 0.0000 14.6405
Sm Sb Te
4 2 10
Direct
0.1658 0.8342 0.5685 Sm
0.1658 0.8342 0.9315 Sm
0.8342 0.1658 0.0685 Sm
0.8342 0.1658 0.4315 Sm
0.1704 0.8296 0.2500 Sb
0.8296 0.1704 0.7500 Sb
0.0404 0.9596 0.1007 Te
0.0404 0.9596 0.3993 Te
0.2813 0.7187 0.7500 Te
0.3077 0.6923 0.0915 Te
0.3077 0.6923 0.4085 Te
0.6923 0.3077 0.5915 Te
0.6923 0.3077 0.9085 Te
0.7187 0.2813 0.2500 Te
0.9596 0.0404 0.6007 Te
0.9596 0.0404 0.8993 Te



18.
SmSbTe, relaxed, DFT PBE; formation energy without anion corrections = -0.873 eV/atom; magnetic moment = 0.00 μB per formula unit; calculated total energy = -14.603 eV per formula unit; calculated density = 7.02 Mg/m³
1.0
-2.0112 2.0112 11.6853
2.0112 -2.0112 11.6853
2.0112 2.0112 -11.6853
Sm Sb Te
2 2 2
Direct
0.1367 0.1367 0.0000 Sm
0.8633 0.8633 0.0000 Sm
0.2851 0.2851 0.0000 Sb
0.7149 0.7149 0.0000 Sb
0.4262 0.4262 0.0000 Te
0.5738 0.5738 0.0000 Te



19.
Sm2SbTe4, relaxed, DFT PBE; formation energy without anion corrections = -0.912 eV/atom; magnetic moment = 0.00 μB per formula unit; calculated total energy = -32.510 eV per formula unit; calculated density = 6.16 Mg/m³
1.0
8.2883 -2.1912 0.0000
8.2883 2.1912 0.0000
-3.5289 0.0000 6.9214
Sm Sb Te
2 1 4
Direct
0.2409 0.2409 0.2236 Sm
0.7591 0.7591 0.7764 Sm
0.5000 0.5000 0.5000 Sb
0.1316 0.1316 0.4689 Te
0.3809 0.3809 0.0522 Te
0.6191 0.6191 0.9478 Te
0.8684 0.8684 0.5311 Te